Material: K12Tl3I5
Method: DFT, PBE
State: optimized geometry

Unit cell a=18.2574 b=18.2574 c=18.2574 alpha=109.47 beta=109.47 gamma=109.47
Closest atoms and distances in Å follow each position.
Positions (direct):
K (0.0522, 0.2224, 0.1363)  2 I 3.39-3.56
K (0.0522, 0.3298, 0.9159)  2 I 3.39-3.56
K (0.0841, 0.6363, 0.4140)  2 I 3.39-3.56
K (0.0841, 0.9478, 0.6702)  2 I 3.39-3.56
K (0.0860, 0.7224, 0.6702)  2 I 3.39-3.56
K (0.0860, 0.8637, 0.4159)  2 I 3.39-3.56
K (0.1363, 0.0522, 0.2224)  2 I 3.39-3.56
K (0.1363, 0.5841, 0.9140)  2 I 3.39-3.56
K (0.1702, 0.2224, 0.5860)  2 I 3.39-3.56
K (0.1702, 0.4478, 0.5841)  2 I 3.39-3.56
K (0.2224, 0.1363, 0.0522)  2 I 3.39-3.56
K (0.2224, 0.5860, 0.1702)  2 I 3.39-3.56
K (0.2776, 0.3298, 0.9140)  2 I 3.39-3.56
K (0.2776, 0.4478, 0.3637)  2 I 3.39-3.56
K (0.3298, 0.9140, 0.2776)  2 I 3.39-3.56
K (0.3298, 0.9159, 0.0522)  2 I 3.39-3.56
K (0.3637, 0.2776, 0.4478)  2 I 3.39-3.56
K (0.3637, 0.5860, 0.9159)  2 I 3.39-3.56
K (0.4140, 0.0841, 0.6363)  2 I 3.39-3.56
K (0.4140, 0.8298, 0.7776)  2 I 3.39-3.56
K (0.4159, 0.0860, 0.8637)  2 I 3.39-3.56
K (0.4159, 0.8298, 0.5522)  2 I 3.39-3.56
K (0.4478, 0.3637, 0.2776)  2 I 3.39-3.56
K (0.4478, 0.5841, 0.1702)  2 I 3.39-3.56
K (0.5522, 0.4159, 0.8298)  2 I 3.39-3.56
K (0.5522, 0.6363, 0.7224)  2 I 3.39-3.56
K (0.5841, 0.1702, 0.4478)  2 I 3.39-3.56
K (0.5841, 0.9140, 0.1363)  2 I 3.39-3.56
K (0.5860, 0.1702, 0.2224)  2 I 3.39-3.56
K (0.5860, 0.9159, 0.3637)  2 I 3.39-3.56
K (0.6363, 0.4140, 0.0841)  2 I 3.39-3.56
K (0.6363, 0.7224, 0.5522)  2 I 3.39-3.56
K (0.6702, 0.0841, 0.9478)  2 I 3.39-3.56
K (0.6702, 0.0860, 0.7224)  2 I 3.39-3.56
K (0.7224, 0.5522, 0.6363)  2 I 3.39-3.56
K (0.7224, 0.6702, 0.0860)  2 I 3.39-3.56
K (0.7776, 0.4140, 0.8298)  2 I 3.39-3.56
K (0.7776, 0.8637, 0.9478)  2 I 3.39-3.56
K (0.8298, 0.5522, 0.4159)  2 I 3.39-3.56
K (0.8298, 0.7776, 0.4140)  2 I 3.39-3.56
K (0.8637, 0.4159, 0.0860)  2 I 3.39-3.56
K (0.8637, 0.9478, 0.7776)  2 I 3.39-3.56
K (0.9140, 0.1363, 0.5841)  2 I 3.39-3.56
K (0.9140, 0.2776, 0.3298)  2 I 3.39-3.56
K (0.9159, 0.0522, 0.3298)  2 I 3.39-3.56
K (0.9159, 0.3637, 0.5860)  2 I 3.39-3.56
K (0.9478, 0.6702, 0.0841)  2 I 3.39-3.56
K (0.9478, 0.7776, 0.8637)  2 I 3.39-3.56
Tl (0.1250, 0.2500, 0.3750)  8 K 3.88-3.90
Tl (0.1250, 0.3750, 0.7500)  8 K 3.88-3.90
Tl (0.2500, 0.3750, 0.1250)  8 K 3.88-3.90
Tl (0.2500, 0.8750, 0.6250)  8 K 3.88-3.90
Tl (0.3750, 0.1250, 0.2500)  8 K 3.88-3.90
Tl (0.3750, 0.7500, 0.1250)  8 K 3.88-3.90
Tl (0.6250, 0.2500, 0.8750)  8 K 3.88-3.90
Tl (0.6250, 0.8750, 0.7500)  8 K 3.88-3.90
Tl (0.7500, 0.1250, 0.3750)  8 K 3.88-3.90
Tl (0.7500, 0.6250, 0.8750)  8 K 3.88-3.90
Tl (0.8750, 0.6250, 0.2500)  8 K 3.88-3.90
Tl (0.8750, 0.7500, 0.6250)  8 K 3.88-3.90
I (0.0000, 0.0000, 0.0000)  6 K 3.56
I (0.0000, 0.0000, 0.5000)  6 K 3.56
I (0.0000, 0.5000, 0.0000)  6 K 3.56
I (0.0000, 0.5000, 0.5000)  6 K 3.56
I (0.1250, 0.7500, 0.8750)  4 K 3.39
I (0.1250, 0.8750, 0.2500)  4 K 3.39
I (0.2500, 0.1250, 0.8750)  4 K 3.39
I (0.2500, 0.6250, 0.3750)  4 K 3.39
I (0.3750, 0.2500, 0.6250)  4 K 3.39
I (0.3750, 0.6250, 0.7500)  4 K 3.39
I (0.5000, 0.0000, 0.0000)  6 K 3.56
I (0.5000, 0.0000, 0.5000)  6 K 3.56
I (0.5000, 0.5000, 0.0000)  6 K 3.56
I (0.5000, 0.5000, 0.5000)  6 K 3.56
I (0.6250, 0.3750, 0.2500)  4 K 3.39
I (0.6250, 0.7500, 0.3750)  4 K 3.39
I (0.7500, 0.3750, 0.6250)  4 K 3.39
I (0.7500, 0.8750, 0.1250)  4 K 3.39
I (0.8750, 0.1250, 0.7500)  4 K 3.39
I (0.8750, 0.2500, 0.1250)  4 K 3.39

Results
space group	No. 230
V	58.56	Å³ per atom
total magnetization	5.2	μB/f.u.



Material: KTlI3
Method: DFT, PBE
State: optimized geometry

Unit cell a=9.6793 b=4.9557 c=17.4311 alpha=90.00 beta=90.00 gamma=90.00
Closest atoms and distances in Å follow each position.
Positions (direct):
K (0.0847, 0.2500, 0.1737)  9 I 3.72-3.93
K (0.4153, 0.7500, 0.6737)  9 I 3.72-3.93
K (0.5847, 0.2500, 0.3263)  9 I 3.72-3.93
K (0.9153, 0.7500, 0.8263)  9 I 3.72-3.93
Tl (0.1610, 0.7500, 0.4376)  6 I 3.13-3.35
Tl (0.3390, 0.2500, 0.9376)  6 I 3.13-3.35
Tl (0.6610, 0.7500, 0.0624)  6 I 3.13-3.35
Tl (0.8390, 0.2500, 0.5624)  6 I 3.13-3.35
I (0.0404, 0.7500, 0.6179)  3 Tl 3.30-3.35
I (0.1501, 0.7500, 0.0022)  2 Tl 3.28
I (0.1887, 0.2500, 0.7784)  1 Tl 3.13
I (0.3113, 0.7500, 0.2784)  1 Tl 3.13
I (0.3499, 0.2500, 0.5022)  2 Tl 3.28
I (0.4596, 0.2500, 0.1179)  3 Tl 3.30-3.35
I (0.5404, 0.7500, 0.8821)  3 Tl 3.30-3.35
I (0.6501, 0.7500, 0.4978)  2 Tl 3.28
I (0.6887, 0.2500, 0.7216)  1 Tl 3.13
I (0.8113, 0.7500, 0.2216)  1 Tl 3.13
I (0.8499, 0.2500, 0.9978)  2 Tl 3.28
I (0.9596, 0.2500, 0.3821)  3 Tl 3.30-3.35

Results
space group	No. 62
V	41.81	Å³ per atom
total magnetization	0.0	μB/f.u.
energy above the lowest structure with this stoichiometry	0.000	eV per atom



Material: K2Tl2I
Method: DFT, PBE
State: optimized geometry

Unit cell a=9.3005 b=9.3005 c=4.9287 alpha=90.00 beta=90.00 gamma=90.00
Closest atoms and distances in Å follow each position.
Positions (direct):
K (0.1872, 0.3128, 0.0000)  6 Tl 3.57-3.81
K (0.3128, 0.8128, 0.0000)  6 Tl 3.57-3.81
K (0.6872, 0.1872, 0.0000)  6 Tl 3.57-3.81
K (0.8128, 0.6872, 0.0000)  6 Tl 3.57-3.81
Tl (0.1167, 0.6167, 0.5000)  1 Tl 3.07
Tl (0.3833, 0.1167, 0.5000)  1 Tl 3.07
Tl (0.6167, 0.8833, 0.5000)  1 Tl 3.07
Tl (0.8833, 0.3833, 0.5000)  1 Tl 3.07
I (0.0000, 0.0000, 0.5000)  4 Tl 3.73
I (0.5000, 0.5000, 0.5000)  4 Tl 3.73

Results
space group	No. 127
V	42.63	Å³ per atom
total magnetization	0.0	μB/f.u.
energy above the lowest structure with this stoichiometry	0.011	eV per atom



Material: K2UTlI8
Method: DFT, PBE
State: optimized geometry

Unit cell a=7.4286 b=8.2932 c=10.3281 alpha=89.67 beta=89.82 gamma=88.28
Closest atoms and distances in Å follow each position.
Positions (direct):
K (0.0067, 0.4989, 0.2455)  6 I 3.37-3.76
K (0.9933, 0.5011, 0.7545)  6 I 3.37-3.76
U (0.5000, 0.0000, 0.5000)  6 I 2.94-2.97
Tl (0.5000, 0.0000, 0.0000)  2 I 3.27
I (0.2204, 0.3125, 0.9970)  1 Tl 3.27, 2 K 3.37
I (0.2665, 0.8734, 0.2969)  1 U 2.94
I (0.2706, 0.8681, 0.7054)  1 U 2.94
I (0.2825, 0.3067, 0.5029)  1 U 2.97
I (0.7175, 0.6933, 0.4971)  1 U 2.97
I (0.7294, 0.1319, 0.2946)  1 U 2.94
I (0.7335, 0.1266, 0.7031)  1 U 2.94
I (0.7796, 0.6875, 0.0030)  1 Tl 3.27, 2 K 3.37

Results
space group	No. 2
V	53.00	Å³ per atom
total magnetization	1.2	μB/f.u.



Material: KUTl2I6
Method: DFT, PBE
State: optimized geometry

Unit cell a=9.1119 b=9.1119 c=9.1119 alpha=57.07 beta=57.07 gamma=57.07
Closest atoms and distances in Å follow each position.
Positions (direct):
K (0.0000, 0.0000, 0.0000)  6 I 3.51-3.62
U (0.4924, 0.4924, 0.4924)  6 I 3.13-3.15
Tl (0.2946, 0.2946, 0.2946)  6 I 3.55-3.58
Tl (0.8033, 0.8033, 0.8033)  6 I 3.51-3.57
I (0.1275, 0.6945, 0.3975)  1 U 3.15, 1 Tl 3.51, 1 K 3.51
I (0.2458, 0.6055, 0.8484)  1 U 3.13
I (0.3975, 0.1275, 0.6945)  1 U 3.15, 1 Tl 3.51, 1 K 3.51
I (0.6055, 0.8484, 0.2458)  1 U 3.13
I (0.6945, 0.3975, 0.1275)  1 U 3.15, 1 Tl 3.51, 1 K 3.51
I (0.8484, 0.2458, 0.6055)  1 U 3.13

Results
space group	No. 146
V	49.88	Å³ per atom
total magnetization	3.0	μB/f.u.



Material: KTlVI6
Method: DFT, PBE
State: optimized geometry

Unit cell a=8.3253 b=8.3253 c=6.7646 alpha=90.01 beta=90.01 gamma=120.17
Closest atoms and distances in Å follow each position.
Positions (direct):
K (0.0000, 0.0000, 0.0000)  6 I 3.48
Tl (0.3339, 0.6661, 0.5000)  6 I 3.55-3.56
V (0.6672, 0.3328, 0.0000)  6 I 2.75
I (0.3987, 0.0639, 0.7632)  1 V 2.75
I (0.4002, 0.3329, 0.2380)  1 V 2.75
I (0.6671, 0.0654, 0.2379)  1 V 2.75
I (0.6671, 0.5998, 0.7620)  1 V 2.75
I (0.9346, 0.3329, 0.7621)  1 V 2.75
I (0.9361, 0.6013, 0.2368)  1 V 2.75

Results
space group	No. 5
V	45.04	Å³ per atom
total magnetization	1.0	μB/f.u.



| no. | uncorrected formation energy (eV per atom) | uncorrected energy (eV/atom) |
| --- | --- | --- |
| 1 | -0.61 | -2.013 |
| 2 | -0.78 | -2.406 |
| 3 | -0.29 | -1.988 |
| 4 | -0.93 | -3.282 |
| 5 | -0.88 | -3.526 |
| 6 | -0.61 | -3.039 |